Entry 1:
Compound: SrMgW2
Source: Alexandria via LeMat-Bulk
Functional: GGA-PBE
Structure: optimized geometry

The structure in CIF format:
```
data_SrMgW2
_chemical_formula_sum 'Sr1 Mg1 W2'
_cell_length_a 5.780
_cell_length_b 5.780
_cell_length_c 5.288
_cell_angle_alpha 76.32
_cell_angle_beta 76.32
_cell_angle_gamma 28.08
_symmetry_space_group_name_H-M 'P 1'
_symmetry_Int_Tables_number 1
loop_
_symmetry_equiv_pos_as_xyz
'x,y,z'
loop_
_atom_site_label
_atom_site_fract_x
_atom_site_fract_y
_atom_site_fract_z
_atom_site_occupancy
Mg1 0.750 0.750 0.750 1
Sr1 0.250 0.250 0.250 1
W1 0.019 0.019 0.982 1
W2 0.481 0.481 0.518 1
```

Calculated values
Crystal system: monoclinic
Total DFT energy (no corrections), eV per cell: -25.2
Fermi-level density of states, states/eV/f.u.: 2.745

Entry 2:
Compound: Pm2Nd5Sm12
Source: Alexandria via LeMat-Bulk
Functional: GGA-PBE
Structure: optimized geometry

The structure in CIF format:
```
data_Pm2Nd5Sm12
_chemical_formula_sum 'Pm2 Nd5 Sm12'
_cell_length_a 7.190
_cell_length_b 10.002
_cell_length_c 10.549
_cell_angle_alpha 70.27
_cell_angle_beta 90.00
_cell_angle_gamma 111.06
_symmetry_space_group_name_H-M 'P 1'
_symmetry_Int_Tables_number 1
loop_
_symmetry_equiv_pos_as_xyz
'x,y,z'
loop_
_atom_site_label
_atom_site_fract_x
_atom_site_fract_y
_atom_site_fract_z
_atom_site_occupancy
Pm1 0.721 0.000 0.000 1
Pm2 0.279 0.000 0.000 1
Nd1 0.188 0.375 0.816 1
Nd2 0.323 0.646 0.211 1
Nd3 0.000 0.000 0.500 1
Nd4 0.677 0.354 0.789 1
Nd5 0.812 0.625 0.184 1
Sm1 0.974 0.947 0.245 1
Sm2 0.088 0.682 0.868 1
Sm3 0.594 0.682 0.868 1
Sm4 0.087 0.669 0.522 1
Sm5 0.582 0.669 0.522 1
Sm6 0.499 0.998 0.674 1
Sm7 0.501 0.002 0.326 1
Sm8 0.913 0.331 0.478 1
Sm9 0.418 0.331 0.478 1
Sm10 0.912 0.318 0.132 1
Sm11 0.406 0.318 0.132 1
Sm12 0.026 0.053 0.755 1
```

Calculated values
Crystal system: monoclinic
Distance to the lowest polymorph of the same formula, kJ/mol of formula units: 64
Total DFT energy (no corrections), eV per cell: -86.8
Fermi-level density of states, states/eV/f.u.: 30.824

Entry 3:
Compound: NpPd8Au2
Source: Alexandria via LeMat-Bulk
Functional: GGA-PBE
Structure: optimized geometry

The structure in CIF format:
```
data_NpPd8Au2
_chemical_formula_sum 'Np1 Pd8 Au2'
_cell_length_a 4.389
_cell_length_b 6.787
_cell_length_c 6.787
_cell_angle_alpha 105.28
_cell_angle_beta 89.98
_cell_angle_gamma 89.98
_symmetry_space_group_name_H-M 'P 1'
_symmetry_Int_Tables_number 1
loop_
_symmetry_equiv_pos_as_xyz
'x,y,z'
loop_
_atom_site_label
_atom_site_fract_x
_atom_site_fract_y
_atom_site_fract_z
_atom_site_occupancy
Np1 0.500 0.000 0.000 1
Pd1 0.000 0.965 0.700 1
Pd2 0.000 0.700 0.965 1
Pd3 0.500 0.672 0.672 1
Pd4 0.500 0.239 0.761 1
Pd5 0.500 0.761 0.239 1
Pd6 0.500 0.328 0.328 1
Pd7 0.000 0.300 0.035 1
Pd8 0.000 0.035 0.300 1
Au1 0.000 0.624 0.376 1
Au2 0.000 0.376 0.624 1
```

Calculated values
Crystal system: orthorhombic
Distance to the lowest polymorph of the same formula, kJ/mol of formula units: 20
Total DFT energy (no corrections), eV per cell: -62.0
Fermi-level density of states, states/eV/f.u.: 14.458

Entry 4:
Compound: Er12Al3In
Source: Alexandria via LeMat-Bulk
Functional: GGA-PBE
Structure: optimized geometry

The structure in CIF format:
```
data_Er12Al3In
_chemical_formula_sum 'Er12 Al3 In1'
_cell_length_a 4.735
_cell_length_b 4.735
_cell_length_c 18.968
_cell_angle_alpha 90.00
_cell_angle_beta 90.00
_cell_angle_gamma 90.00
_symmetry_space_group_name_H-M 'P 1'
_symmetry_Int_Tables_number 1
loop_
_symmetry_equiv_pos_as_xyz
'x,y,z'
loop_
_atom_site_label
_atom_site_fract_x
_atom_site_fract_y
_atom_site_fract_z
_atom_site_occupancy
Er1 0.500 0.500 0.000 1
Er2 0.500 0.500 0.252 1
Er3 0.500 0.500 0.500 1
Er4 0.500 0.500 0.748 1
Er5 0.500 0.000 0.129 1
Er6 0.500 0.000 0.376 1
Er7 0.500 0.000 0.624 1
Er8 0.500 0.000 0.871 1
Er9 0.000 0.500 0.129 1
Er10 0.000 0.500 0.376 1
Er11 0.000 0.500 0.624 1
Er12 0.000 0.500 0.871 1
Al1 0.000 0.000 0.252 1
Al2 0.000 0.000 0.500 1
Al3 0.000 0.000 0.748 1
In1 0.000 0.000 0.000 1
```

Calculated values
Crystal system: tetragonal
Total DFT energy (no corrections), eV per cell: -72.1
Fermi-level density of states, states/eV/f.u.: 18.964

Entry 5:
Compound: K2GaOsI
Source: Alexandria via LeMat-Bulk
Functional: GGA-PBE
Structure: optimized geometry

The structure in CIF format:
```
data_K2GaOsI
_chemical_formula_sum 'K2 Ga1 Os1 I1'
_cell_length_a 6.444
_cell_length_b 4.770
_cell_length_c 6.444
_cell_angle_alpha 90.00
_cell_angle_beta 90.00
_cell_angle_gamma 90.00
_symmetry_space_group_name_H-M 'P 1'
_symmetry_Int_Tables_number 1
loop_
_symmetry_equiv_pos_as_xyz
'x,y,z'
loop_
_atom_site_label
_atom_site_fract_x
_atom_site_fract_y
_atom_site_fract_z
_atom_site_occupancy
I1 0.500 0.500 0.500 1
K1 0.000 0.000 0.500 1
K2 0.500 0.000 0.000 1
Os1 0.000 0.500 0.000 1
Ga1 0.000 0.000 0.000 1
```

Calculated values
Crystal system: tetragonal
Total DFT energy (no corrections), eV per cell: -16.0
E_form (uncorrected), eV per atom: 0.393
Fermi-level density of states, states/eV/f.u.: 3.896

Entry 6:
Compound: LiCdRu2
Source: Alexandria via LeMat-Bulk
Functional: GGA-PBE
Structure: optimized geometry

The structure in CIF format:
```
data_LiCdRu2
_chemical_formula_sum 'Li1 Cd1 Ru2'
_cell_length_a 4.920
_cell_length_b 4.920
_cell_length_c 4.635
_cell_angle_alpha 80.70
_cell_angle_beta 80.70
_cell_angle_gamma 33.24
_symmetry_space_group_name_H-M 'P 1'
_symmetry_Int_Tables_number 1
loop_
_symmetry_equiv_pos_as_xyz
'x,y,z'
loop_
_atom_site_label
_atom_site_fract_x
_atom_site_fract_y
_atom_site_fract_z
_atom_site_occupancy
Cd1 0.750 0.750 0.750 1
Li1 0.250 0.250 0.250 1
Ru1 0.000 0.000 0.023 1
Ru2 0.500 0.500 0.477 1
```

Calculated values
Crystal system: monoclinic
Total DFT energy (no corrections), eV per cell: -20.4
Fermi-level density of states, states/eV/f.u.: 3.955

Entry 7:
Compound: Ca3Ge4Au7
Source: Alexandria via LeMat-Bulk
Functional: GGA-PBE
Structure: optimized geometry

The structure in CIF format:
```
data_Ca3Ge4Au7
_chemical_formula_sum 'Ca3 Ge4 Au7'
_cell_length_a 4.433
_cell_length_b 8.527
_cell_length_c 8.644
_cell_angle_alpha 69.29
_cell_angle_beta 75.14
_cell_angle_gamma 74.93
_symmetry_space_group_name_H-M 'P 1'
_symmetry_Int_Tables_number 1
loop_
_symmetry_equiv_pos_as_xyz
'x,y,z'
loop_
_atom_site_label
_atom_site_fract_x
_atom_site_fract_y
_atom_site_fract_z
_atom_site_occupancy
Ca1 0.322 0.184 0.172 1
Ca2 0.678 0.816 0.828 1
Ca3 0.000 0.500 0.500 1
Ge1 0.679 0.443 0.198 1
Ge2 0.321 0.557 0.802 1
Ge3 0.884 0.901 0.332 1
Ge4 0.116 0.099 0.668 1
Au1 0.310 0.835 0.546 1
Au2 0.497 0.243 0.762 1
Au3 0.858 0.387 0.898 1
Au4 0.690 0.165 0.454 1
Au5 0.142 0.613 0.102 1
Au6 0.000 0.000 0.000 1
Au7 0.503 0.757 0.238 1
```

Calculated values
Crystal system: monoclinic
Distance to the lowest polymorph of the same formula, kJ/mol of formula units: 13
Total DFT energy (no corrections), eV per cell: -54.3
Fermi-level density of states, states/eV/f.u.: 5.935

Entry 8:
Compound: Al2Zn3Ga
Source: Alexandria via LeMat-Bulk
Functional: GGA-PBE
Structure: optimized geometry

The structure in CIF format:
```
data_Al2Zn3Ga
_chemical_formula_sum 'Al4 Zn6 Ga2'
_cell_length_a 4.116
_cell_length_b 6.271
_cell_length_c 8.485
_cell_angle_alpha 71.29
_cell_angle_beta 75.97
_cell_angle_gamma 70.84
_symmetry_space_group_name_H-M 'P 1'
_symmetry_Int_Tables_number 1
loop_
_symmetry_equiv_pos_as_xyz
'x,y,z'
loop_
_atom_site_label
_atom_site_fract_x
_atom_site_fract_y
_atom_site_fract_z
_atom_site_occupancy
Al1 0.462 0.209 0.868 1
Al2 0.538 0.791 0.132 1
Al3 0.206 0.457 0.132 1
Al4 0.794 0.543 0.868 1
Zn1 0.714 0.958 0.615 1
Zn2 0.042 0.296 0.621 1
Zn3 0.379 0.625 0.616 1
Zn4 0.621 0.375 0.384 1
Zn5 0.958 0.704 0.379 1
Zn6 0.286 0.042 0.385 1
Ga1 0.130 0.874 0.866 1
Ga2 0.870 0.126 0.134 1
```

Calculated values
Crystal system: monoclinic
Distance to the lowest polymorph of the same formula, kJ/mol of formula units: 0
Total DFT energy (no corrections), eV per cell: -28.4
Fermi-level density of states, states/eV/f.u.: 1.570